Ti5As2H2: optimized geometry, PBE-GGA.

Unit cell a=3.2765 b=4.9746 c=7.6707 alpha=88.83 beta=90.00 gamma=109.23
Fractional coordinates of all 9 atoms:
As 0.5494 0.0989 0.2764
As 0.4506 0.9011 0.7236
H 0.1918 0.3836 0.9482
H 0.8082 0.6164 0.0518
Ti 0.2685 0.5370 0.1756
Ti 0.7315 0.4630 0.8244
Ti 0.8645 0.7289 0.4483
Ti 0.0000 0.0000 0.0000
Ti 0.1355 0.2711 0.5517

Values from the calculation:
The magnetization is 0.00 μB/atom. As for the total energy: -6.7194 eV/atom. For the density of states at the Fermi level, the calculation gives 6.89 states/eV/cell. For the density, the calculation gives 5.5 g/cm3.